Entry 1:
A plane-wave DFT calculation with PBE was carried out for an optimized crystal structure of BaIn6Pd6.

SG ... No. 71
ρ ... 9.2 Mg/m³
Size of the total moment ... 0.00 μB per formula unit
Calculated volume ... 265 Å³ per cell
E_tot ... -4.30 eV/atom
E_form ... -0.49 eV/atom

Lattice parameters (Å, degrees): 5.691 7.401 7.401 78.43 67.39 67.39
Sites, in units of the cell vectors:
1 Ba 0.000 0.000 0.000
2 In 0.346 0.654 0.654
3 In 0.654 0.346 0.346
4 In 0.000 0.343 0.657
5 In 0.000 0.657 0.343
6 In 0.314 0.186 0.186
7 In 0.686 0.814 0.814
8 Pd 0.000 0.500 0.000
9 Pd 0.500 0.500 0.000
10 Pd 0.000 0.000 0.500
11 Pd 0.500 0.000 0.500
12 Pd 0.500 0.760 0.240
13 Pd 0.500 0.240 0.760

---

Entry 2:
A plane-wave DFT calculation with PBE was carried out for an optimized crystal structure of BaIn3Pd.

SG ... No. 63
ρ ... 7.0 Mg/m³
Size of the total moment ... 0.00 μB per formula unit
Calculated volume ... 277 Å³ per cell
E_tot ... -3.58 eV/atom
E_form ... -0.51 eV/atom

Lattice parameters (Å, degrees): 6.803 6.802 6.757 90.00 90.00 62.53
Sites, in units of the cell vectors:
1 Ba 0.020 0.223 0.052
2 Ba 0.541 0.743 0.552
3 In 0.118 0.321 0.552
4 In 0.442 0.645 0.052
5 In 0.524 0.239 0.802
6 In 0.524 0.239 0.302
7 In 0.036 0.727 0.302
8 In 0.036 0.727 0.802
9 Pd 0.886 0.089 0.552
10 Pd 0.675 0.877 0.052

---

Entry 3:
A plane-wave DFT calculation with PBE was carried out for an optimized crystal structure of Ba3In8Pd3.

SG ... No. 71
ρ ... 7.1 Mg/m³
Size of the total moment ... 0.00 μB per formula unit
Calculated volume ... 386 Å³ per cell
E_tot ... -3.57 eV/atom
E_form ... -0.48 eV/atom

Lattice parameters (Å, degrees): 4.856 9.320 9.320 76.08 74.90 74.90
Sites, in units of the cell vectors:
1 Ba 0.500 0.500 0.500
2 Ba 0.834 0.166 0.166
3 Ba 0.166 0.834 0.834
4 In 0.610 0.103 0.676
5 In 0.390 0.897 0.324
6 In 0.610 0.676 0.103
7 In 0.390 0.324 0.897
8 In 0.822 0.821 0.536
9 In 0.178 0.179 0.464
10 In 0.822 0.536 0.821
11 In 0.178 0.464 0.179
12 Pd 0.500 0.000 0.000
13 Pd 0.000 0.750 0.250
14 Pd 0.000 0.250 0.750

---

Entry 4:
A plane-wave DFT calculation with PBE was carried out for an optimized crystal structure of Ba6InPd3.

SG ... No. 11
ρ ... 5.0 Mg/m³
Size of the total moment ... 0.00 μB per formula unit
Calculated volume ... 838 Å³ per cell
E_tot ... -3.37 eV/atom
E_form ... -0.39 eV/atom

Lattice parameters (Å, degrees): 4.596 11.757 16.557 110.49 90.00 90.00
Sites, in units of the cell vectors:
1 Ba 0.750 0.525 0.612
2 Ba 0.250 0.475 0.388
3 Ba 0.750 0.836 0.092
4 Ba 0.250 0.164 0.908
5 Ba 0.750 0.438 0.086
6 Ba 0.250 0.562 0.914
7 Ba 0.750 0.728 0.310
8 Ba 0.250 0.272 0.690
9 Ba 0.750 0.138 0.429
10 Ba 0.250 0.862 0.571
11 Ba 0.750 0.844 0.837
12 Ba 0.250 0.156 0.163
13 In 0.750 0.073 0.730
14 In 0.250 0.927 0.270
15 Pd 0.750 0.330 0.851
16 Pd 0.250 0.670 0.149
17 Pd 0.750 0.665 0.481
18 Pd 0.250 0.335 0.519
19 Pd 0.750 0.081 0.023
20 Pd 0.250 0.919 0.977

---

Entry 5:
A plane-wave DFT calculation with PBE was carried out for an optimized crystal structure of BaIn2Pd.

SG ... No. 62
ρ ... 7.2 Mg/m³
Size of the total moment ... 0.00 μB per formula unit
Calculated volume ... 878 Å³ per cell
E_tot ... -3.69 eV/atom
E_form ... -0.54 eV/atom

Lattice parameters (Å, degrees): 6.240 8.101 17.364 90.00 90.00 90.00
Sites, in units of the cell vectors:
1 Ba 0.468 0.250 0.136
2 Ba 0.968 0.750 0.364
3 Ba 0.532 0.750 0.864
4 Ba 0.032 0.250 0.636
5 Ba 0.780 0.250 0.396
6 Ba 0.280 0.750 0.104
7 Ba 0.220 0.750 0.604
8 Ba 0.720 0.250 0.896
9 In 0.967 0.055 0.212
10 In 0.467 0.945 0.288
11 In 0.033 0.555 0.788
12 In 0.533 0.445 0.712
13 In 0.033 0.945 0.788
14 In 0.533 0.055 0.712
15 In 0.967 0.445 0.212
16 In 0.467 0.555 0.288
17 In 0.787 0.558 0.043
18 In 0.287 0.442 0.457
19 In 0.213 0.058 0.957
20 In 0.713 0.942 0.543
21 In 0.213 0.442 0.957
22 In 0.713 0.558 0.543
23 In 0.787 0.942 0.043
24 In 0.287 0.058 0.457
25 Pd 0.248 0.250 0.315
26 Pd 0.748 0.750 0.185
27 Pd 0.752 0.750 0.685
28 Pd 0.252 0.250 0.815
29 Pd 0.987 0.250 0.072
30 Pd 0.487 0.750 0.428
31 Pd 0.013 0.750 0.928
32 Pd 0.513 0.250 0.572

---

Entry 6:
A plane-wave DFT calculation with PBE was carried out for an optimized crystal structure of Ba3In9Pd2.

SG ... No. 71
ρ ... 7.0 Mg/m³
Size of the total moment ... 0.00 μB per formula unit
Calculated volume ... 395 Å³ per cell
E_tot ... -3.35 eV/atom
E_form ... -0.43 eV/atom

Lattice parameters (Å, degrees): 4.913 9.384 9.384 75.40 74.82 74.82
Sites, in units of the cell vectors:
1 Ba 0.000 0.000 0.000
2 Ba 0.685 0.315 0.315
3 Ba 0.315 0.685 0.685
4 In 0.000 0.500 0.500
5 In 0.666 0.973 0.694
6 In 0.334 0.027 0.306
7 In 0.666 0.694 0.973
8 In 0.334 0.306 0.027
9 In 0.881 0.839 0.399
10 In 0.119 0.161 0.601
11 In 0.881 0.399 0.839
12 In 0.119 0.601 0.161
13 Pd 0.500 0.274 0.726
14 Pd 0.500 0.726 0.274

---

Entry 7:
A plane-wave DFT calculation with PBE was carried out for an optimized crystal structure of BaIn2Pd5.

SG ... No. 71
ρ ... 8.8 Mg/m³
Size of the total moment ... 0.00 μB per formula unit
Calculated volume ... 170 Å³ per cell
E_tot ... -4.63 eV/atom
E_form ... -0.46 eV/atom

Lattice parameters (Å, degrees): 4.211 6.983 6.983 62.48 72.45 72.45
Sites, in units of the cell vectors:
1 Ba 0.000 0.000 0.000
2 In 0.763 0.737 0.737
3 In 0.237 0.263 0.263
4 Pd 0.000 0.500 0.500
5 Pd 0.629 0.563 0.178
6 Pd 0.371 0.437 0.822
7 Pd 0.371 0.822 0.437
8 Pd 0.629 0.178 0.563

---

Entry 8:
A plane-wave DFT calculation with PBE was carried out for an optimized crystal structure of Ba2In2Pd.

SG ... No. 127
ρ ... 6.3 Mg/m³
Size of the total moment ... 0.00 μB per formula unit
Calculated volume ... 323 Å³ per cell
E_tot ... -3.20 eV/atom
E_form ... -0.30 eV/atom

Lattice parameters (Å, degrees): 7.581 7.581 5.613 90.00 90.00 90.00
Sites, in units of the cell vectors:
1 Ba 0.170 0.670 0.500
2 Ba 0.670 0.830 0.500
3 Ba 0.830 0.330 0.500
4 Ba 0.330 0.170 0.500
5 Pd 0.000 0.000 0.000
6 Pd 0.500 0.500 0.000
7 In 0.356 0.856 0.000
8 In 0.856 0.644 0.000
9 In 0.644 0.144 0.000
10 In 0.144 0.356 0.000

---

Entry 9:
A plane-wave DFT calculation with PBE was carried out for an optimized crystal structure of Ba3In4Pd4.

SG ... No. 71
ρ ... 7.4 Mg/m³
Size of the total moment ... 0.00 μB per formula unit
Calculated volume ... 291 Å³ per cell
E_tot ... -4.00 eV/atom
E_form ... -0.59 eV/atom

Lattice parameters (Å, degrees): 4.513 8.298 9.089 117.16 104.38 90.00
Sites, in units of the cell vectors:
1 Ba 0.117 0.117 0.234
2 Ba 0.883 0.883 0.766
3 Ba 0.000 0.500 0.000
4 In 0.324 0.131 0.649
5 In 0.676 0.482 0.351
6 In 0.676 0.869 0.351
7 In 0.324 0.518 0.649
8 Pd 0.221 0.721 0.442
9 Pd 0.779 0.279 0.558
10 Pd 0.500 0.786 0.000
11 Pd 0.500 0.214 0.000

---

Entry 10:
A plane-wave DFT calculation with PBE was carried out for an optimized crystal structure of Ba4InPd.

SG ... No. 11
ρ ... 5.0 Mg/m³
Size of the total moment ... 0.00 μB per formula unit
Calculated volume ... 510 Å³ per cell
E_tot ... -2.92 eV/atom
E_form ... -0.31 eV/atom

Lattice parameters (Å, degrees): 6.395 8.553 10.403 90.00 116.41 90.00
Sites, in units of the cell vectors:
1 Ba 0.560 0.250 0.439
2 Ba 0.440 0.750 0.561
3 Ba 0.661 0.250 0.876
4 Ba 0.339 0.750 0.124
5 Ba 0.908 0.016 0.254
6 Ba 0.092 0.516 0.746
7 Ba 0.908 0.484 0.254
8 Ba 0.092 0.984 0.746
9 In 0.303 0.250 0.070
10 In 0.697 0.750 0.930
11 Pd 0.157 0.250 0.543
12 Pd 0.843 0.750 0.457

---

E_form of number 7 (BaIn2Pd5)? -0.46 eV/atom

---

calculated volume of number 5 (BaIn2Pd)? 878 Å³ per cell